## Sc5Bi2SbC (PBE-GGA)

Data for a geometry-optimized Sc5Bi2SbC structure. Values from VASP.

The structure in Quantum ESPRESSO input format:
```
&SYSTEM
  ibrav = 0, nat = 9, ntyp = 4
/
ATOMIC_SPECIES
Sc 44.96 Sc.upf
Bi 208.98 Bi.upf
Sb 121.76 Sb.upf
C 12.01 C.upf
CELL_PARAMETERS angstrom
4.438 0.000 0.000
0.000 4.438 0.000
0.000 0.000 10.537
ATOMIC_POSITIONS crystal
Sc 0.000 0.000 0.000
Sc 0.000 0.500 0.500
Sc 0.500 0.000 0.500
Sc 0.500 0.500 0.278
Sc 0.500 0.500 0.722
Bi 0.000 0.000 0.287
Bi 0.000 0.000 0.713
Sb 0.500 0.500 0.000
C 0.500 0.500 0.500
```

Output
Magnetic moment in μB/cell: 0.00
Total energy in eV/atom: -6.59
SG: No. 123

## TmB3Mo (PBE-GGA)

Data for a geometry-optimized TmB3Mo structure. Values from VASP.

The structure in Quantum ESPRESSO input format:
```
&SYSTEM
  ibrav = 0, nat = 10, ntyp = 3
/
ATOMIC_SPECIES
Tm 168.93 Tm.upf
B 10.81 B.upf
Mo 95.94 Mo.upf
CELL_PARAMETERS angstrom
1.742 -9.857 0.000
1.742 9.857 0.000
0.000 0.000 3.177
ATOMIC_POSITIONS crystal
Tm 0.073 0.927 0.750
Tm 0.927 0.073 0.250
B 0.329 0.671 0.250
B 0.378 0.622 0.750
B 0.477 0.523 0.750
B 0.523 0.477 0.250
B 0.622 0.378 0.250
B 0.671 0.329 0.750
Mo 0.207 0.793 0.250
Mo 0.793 0.207 0.750
```

Output
Magnetic moment in μB/cell: 0.00
Total energy in eV/atom: -7.60
SG: No. 63

## La2Ag2Rh (PBE-GGA)

Data for a geometry-optimized La2Ag2Rh structure. Values from VASP.

The structure in Quantum ESPRESSO input format:
```
&SYSTEM
  ibrav = 0, nat = 10, ntyp = 3
/
ATOMIC_SPECIES
La 138.91 La.upf
Ag 107.87 Ag.upf
Rh 102.91 Rh.upf
CELL_PARAMETERS angstrom
7.564 0.000 0.000
0.000 7.564 0.000
0.000 0.000 4.338
ATOMIC_POSITIONS crystal
La 0.182 0.318 0.000
La 0.318 0.818 0.000
La 0.682 0.182 0.000
La 0.818 0.682 0.000
Ag 0.128 0.628 0.500
Ag 0.372 0.128 0.500
Ag 0.628 0.872 0.500
Ag 0.872 0.372 0.500
Rh 0.000 0.000 0.500
Rh 0.500 0.500 0.500
```

Output
Magnetic moment in μB/cell: 0.00
Total energy in eV/atom: -4.77
SG: No. 127